Fe2Re2Br: optimized geometry, GGA-PBE.

## Properties
The value obtained for the uncorrected formation energy is 726.2 meV/atom. For the energy above the lowest structure with this stoichiometry, the calculation gives 0 meV/atom. Its size of the total moment is 0.000 μB per atom.

abc: 7.4384 7.4384 2.6992
angles: 90.00 90.00 90.00
Last column: nearest neighbours and their distance in Å.
Fractional positions:
Br  0.5000  0.5000  0.0000  2 Br 2.70, 4 Fe 2.79
Br  0.0000  0.0000  0.0000  2 Br 2.70, 4 Fe 2.79
Re  0.1221  0.6221  0.5000  6 Fe 2.52-2.65, 3 Re 2.57-2.70
Re  0.8779  0.3779  0.5000  6 Fe 2.52-2.65, 3 Re 2.57-2.70
Re  0.6221  0.8779  0.5000  6 Fe 2.52-2.65, 3 Re 2.57-2.70
Re  0.3779  0.1221  0.5000  6 Fe 2.52-2.65, 3 Re 2.57-2.70
Fe  0.6614  0.1614  0.0000  6 Re 2.52-2.65, 2 Fe 2.70, 2 Br 2.79
Fe  0.1614  0.3386  0.0000  6 Re 2.52-2.65, 2 Fe 2.70, 2 Br 2.79
Fe  0.8386  0.6614  0.0000  6 Re 2.52-2.65, 2 Fe 2.70, 2 Br 2.79
Fe  0.3386  0.8386  0.0000  6 Re 2.52-2.65, 2 Fe 2.70, 2 Br 2.79